VASP calculation (GGA-PBE) on an optimized crystal structure of Ac6Y3Ho.

a b c (Å): 16.7413 16.7413 9.8987
angles (deg): 90.00 90.00 120.00
Space group R-3 (No. 148, hexagonal axes)
One atom of each set of equivalent atoms:
Ac1 0.0309 0.2639 0.3522 x18
Ac2 0.0702 0.5661 0.6614 x18
Y1 0.0154 0.1451 0.7106 x18
Ho1 0.0000 0.0000 0.0000 x3
Ho2 0.0000 0.0000 0.5000 x3

Output
Energy relative to the elements (eV/atom): 0.131